DFT (GGA-PBE) results for a relaxed Li4MgAu crystal.

```
Li4MgAu
1.0
-1.177 -0.103 4.143
-1.837 -3.657 -2.852
5.209 -1.650 1.439
Mg Li Au
1 4 1
direct
0.000 0.000 0.500 Mg
0.323 0.645 0.157 Li
0.354 0.708 0.701 Li
0.646 0.292 0.299 Li
0.677 0.355 0.843 Li
0.000 0.000 0.000 Au
```

Values from the calculation:
The energy above the most stable polymorph in this dataset comes out at 0.0045 eV per atom. The space-group type is C2/m, No. 12. For the total energy, the calculation gives -0.08702 Ha/atom.